No. 1
## Pr6NdGa2 (PBE-GGA)

Data for a relaxed Pr6NdGa2 crystal.

Cell: 6.7630 6.7630 12.2650 Å, 109.27 109.27 32.94°
Fractional positions:
Pr  0.0264  0.0264  0.3231
Pr  0.3088  0.3088  0.1257
Pr  0.3120  0.3120  0.4095
Pr  0.6880  0.6880  0.5905
Pr  0.6912  0.6912  0.8743
Pr  0.9736  0.9736  0.6769
Nd  0.0000  0.0000  0.0000
Ga  0.3522  0.3522  0.7991
Ga  0.6478  0.6478  0.2009

## Properties
Total moment   0.0 Bohr magnetons per cell
SG   C2/m (12)
Energy   -4.615 eV/atom

---

No. 2
## PrNd3Ga (PBE-GGA)

Data for a relaxed PrNd3Ga crystal.

Cell: 3.7929 8.7273 10.0008 Å, 76.82 79.12 89.96°
Fractional positions:
Pr  0.0949  0.0411  0.3143
Pr  0.9051  0.9589  0.6857
Nd  0.3032  0.1831  0.8937
Nd  0.3140  0.6170  0.8691
Nd  0.4980  0.3047  0.4991
Nd  0.5020  0.6953  0.5009
Nd  0.6860  0.3830  0.1309
Nd  0.6968  0.8169  0.1063
Ga  0.1048  0.5680  0.2920
Ga  0.8952  0.4320  0.7080

## Properties
Energy above the most stable polymorph in this dataset   0.000 eV/f.u.
Total moment   0.0 Bohr magnetons per cell
SG   P-1 (2)

---

No. 3
## PrNdGa3 (PBE-GGA)

Data for a relaxed PrNdGa3 crystal.

Cell: 13.3326 13.3326 4.2598 Å, 90.00 90.00 161.05°
Fractional positions:
Pr  0.0721  0.9279  0.7500
Pr  0.9279  0.0721  0.2500
Nd  0.2029  0.7971  0.2500
Nd  0.7971  0.2029  0.7500
Ga  0.3273  0.6727  0.2500
Ga  0.3817  0.6183  0.7500
Ga  0.4764  0.5236  0.7500
Ga  0.5236  0.4764  0.2500
Ga  0.6183  0.3817  0.2500
Ga  0.6727  0.3273  0.7500

## Properties
Total moment   0.0 Bohr magnetons per cell
SG   Cmcm (63)
Energy   -4.379 eV/atom